1.
## HfGeC3 (PBE-GGA)

Data for a relaxed HfGeC3 crystal.

Properties
space group = Pm-3m (221)
total DFT energy (no corrections) = -33.08 eV/cell

Cell: 3.882 3.882 3.882 Å, 90.00 90.00 90.00°
Element x y z (fractional)
Hf  0.000  0.000  0.000
Ge  0.500  0.500  0.500
C  0.000  0.500  0.500
C  0.500  0.000  0.500
C  0.500  0.500  0.000

2.
## Cr (PBE-GGA)

Data for a relaxed Cr crystal.

Properties
space group = P6_3/mmc (194)
total DFT energy (no corrections) = -36.96 eV/cell

Cell: 2.502 2.502 8.789 Å, 90.00 90.00 120.00°
Element x y z (fractional)
Cr  0.000  0.000  0.000
Cr  0.000  0.000  0.500
Cr  0.333  0.667  0.250
Cr  0.667  0.333  0.750

3.
## SrCa2Al6 (PBE-GGA)

Data for a relaxed SrCa2Al6 crystal.

Properties
space group = P6/mmm (191)
total DFT energy (no corrections) = -30.18 eV/cell

Cell: 7.931 7.931 4.063 Å, 90.00 90.00 120.00°
Element x y z (fractional)
Sr  0.000  0.000  0.000
Ca  0.333  0.667  0.000
Ca  0.667  0.333  0.000
Al  0.000  0.336  0.500
Al  0.000  0.664  0.500
Al  0.336  0.000  0.500
Al  0.336  0.336  0.500
Al  0.664  0.000  0.500
Al  0.664  0.664  0.500

4.
## Cu3BiSe2BrO8 (PBE-GGA)

Data for a relaxed Cu3BiSe2BrO8 crystal.

Properties
formation energy without anion corrections = -0.775 eV per atom
space group = Pmmn (59)

Cell: 6.430 9.797 7.365 Å, 90.00 90.00 90.00°
Element x y z (fractional)
Cu  0.000  0.000  0.000
Cu  0.000  0.500  0.000
Cu  0.250  0.250  0.205
Cu  0.500  0.000  0.000
Cu  0.500  0.500  0.000
Cu  0.750  0.750  0.795
Bi  0.250  0.250  0.754
Bi  0.750  0.750  0.246
Se  0.250  0.556  0.389
Se  0.250  0.944  0.389
Se  0.750  0.056  0.611
Se  0.750  0.444  0.611
Br  0.250  0.750  0.837
Br  0.750  0.250  0.163
O  0.039  0.584  0.244
O  0.039  0.916  0.244
O  0.250  0.114  0.008
O  0.250  0.118  0.410
O  0.250  0.382  0.410
O  0.250  0.386  0.008
O  0.461  0.584  0.244
O  0.461  0.916  0.244
O  0.539  0.084  0.756
O  0.539  0.416  0.756
O  0.750  0.614  0.992
O  0.750  0.618  0.590
O  0.750  0.882  0.590
O  0.750  0.886  0.992
O  0.961  0.084  0.756
O  0.961  0.416  0.756

5.
## ErLu2Sc (PBE-GGA)

Data for a relaxed ErLu2Sc crystal.

Properties
space group = P4/mmm (123)
total DFT energy (no corrections) = -19.75 eV/cell

Cell: 3.433 3.433 9.631 Å, 90.00 90.00 90.00°
Element x y z (fractional)
Er  0.000  0.000  0.000
Lu  0.500  0.500  0.259
Lu  0.500  0.500  0.741
Sc  0.000  0.000  0.500

no.,density of states at the Fermi level (states/eV per cell),total magnetization (μB/f.u.)
1,3.087,0.00
2,5.262,0.00
3,2.898,0.00
4,1.045,2.98
5,6.140,0.00